Compound: PrLuPbAu
Source: Alexandria
Functional: GGA-PBE
Structure: relaxed

Unit cell a=7.5338 b=7.5338 c=7.5338 alpha=90.00 beta=90.00 gamma=90.00
Space group F-43m (No. 216)
Unique sites:
Pr 0.0000 0.0000 0.0000 x4
Lu 0.0000 0.0000 0.5000 x4
Pb 0.2500 0.2500 0.7500 x4
Au 0.2500 0.2500 0.2500 x4

ΔE_f (meV per atom): -565
DOS at the Fermi energy (states/eV per cell): 15.23

Compound: LuPtPbAu
Source: Alexandria
Functional: GGA-PBE
Structure: relaxed

Unit cell a=6.9762 b=6.9762 c=6.9762 alpha=90.00 beta=90.00 gamma=90.00
Space group F-43m (No. 216)
Unique sites:
Lu 0.0000 0.0000 0.0000 x4
Pt 0.2500 0.2500 0.2500 x4
Pb 0.0000 0.0000 0.5000 x4
Au 0.2500 0.2500 0.7500 x4

ΔE_f (meV per atom): -648
DOS at the Fermi energy (states/eV per cell): 5.82

Compound: LuScPbAu
Source: Alexandria
Functional: GGA-PBE
Structure: relaxed

Unit cell a=7.1843 b=7.1843 c=7.1843 alpha=90.00 beta=90.00 gamma=90.00
Space group F-43m (No. 216)
Unique sites:
Lu 0.0000 0.0000 0.0000 x4
Sc 0.0000 0.0000 0.5000 x4
Pb 0.2500 0.2500 0.2500 x4
Au 0.2500 0.2500 0.7500 x4

ΔE_f (meV per atom): -541
DOS at the Fermi energy (states/eV per cell): 15.21

Compound: SmLuPbAu
Source: Alexandria
Functional: GGA-PBE
Structure: relaxed

Unit cell a=7.4534 b=7.4534 c=7.4534 alpha=90.00 beta=90.00 gamma=90.00
Space group F-43m (No. 216)
Unique sites:
Sm 0.0000 0.0000 0.0000 x4
Lu 0.0000 0.0000 0.5000 x4
Pb 0.2500 0.2500 0.2500 x4
Au 0.2500 0.2500 0.7500 x4

ΔE_f (meV per atom): -576
DOS at the Fermi energy (states/eV per cell): 15.95

Compound: SrLuPbAu
Source: Alexandria
Functional: GGA-PBE
Structure: relaxed

Unit cell a=7.6283 b=7.6283 c=7.6283 alpha=90.00 beta=90.00 gamma=90.00
Space group F-43m (No. 216)
Unique sites:
Sr 0.0000 0.0000 0.0000 x4
Lu 0.0000 0.0000 0.5000 x4
Pb 0.2500 0.2500 0.2500 x4
Au 0.2500 0.2500 0.7500 x4

ΔE_f (meV per atom): -562
DOS at the Fermi energy (states/eV per cell): 4.77

Compound: TmLuPbAu
Source: Alexandria
Functional: GGA-PBE
Structure: relaxed

Unit cell a=7.3349 b=7.3349 c=7.3349 alpha=90.00 beta=90.00 gamma=90.00
Space group F-43m (No. 216)
Unique sites:
Tm 0.0000 0.0000 0.0000 x4
Lu 0.0000 0.0000 0.5000 x4
Pb 0.2500 0.2500 0.7500 x4
Au 0.2500 0.2500 0.2500 x4

ΔE_f (meV per atom): -562
DOS at the Fermi energy (states/eV per cell): 16.23

Which value of ΔE_f does entry 6 give?
-562 meV per atom

Please write out number 2 again, unchanged.
Compound: LuPtPbAu
Source: Alexandria
Functional: GGA-PBE
Structure: relaxed

Unit cell a=6.9762 b=6.9762 c=6.9762 alpha=90.00 beta=90.00 gamma=90.00
Space group F-43m (No. 216)
Unique sites:
Lu 0.0000 0.0000 0.0000 x4
Pt 0.2500 0.2500 0.2500 x4
Pb 0.0000 0.0000 0.5000 x4
Au 0.2500 0.2500 0.7500 x4

ΔE_f (meV per atom): -648
DOS at the Fermi energy (states/eV per cell): 5.82

Which value of ΔE_f does entry 5 give?
-562 meV per atom